FeSbNO2 GGA+U relaxed; size of the total moment = 13.950 μB/cell; energy = -2.031 eV/atom; crystal system = tetragonal
1.0
14.8424 0.0000 0.0000
0.0000 14.8424 0.0000
0.0000 0.0000 12.0538
Fe Sb N O
1 1 1 2
Direct
0.0000 0.0000 0.0000
0.5000 0.5000 0.5000
0.0000 0.0000 0.5000
0.0000 0.5000 0.0000
0.5000 0.0000 0.0000